# Pm5Nd4Th2 PBE relaxed
data_Pm5Nd4Th2
_space_group_name_H-M_alt 'P 1'
_space_group_IT_number 1
_cell_length_a 9.051
_cell_length_b 3.523
_cell_length_c 12.028
_cell_angle_alpha 90.00
_cell_angle_beta 94.18
_cell_angle_gamma 90.00
loop_
_space_group_symop_operation_xyz
'x,y,z'
loop_
_atom_site_label
_atom_site_fract_x
_atom_site_fract_y
_atom_site_fract_z
_atom_site_occupancy
Pm1 0.000 0.000 0.000 1
Pm2 0.080 0.000 0.286 1
Pm3 0.302 0.000 0.830 1
Pm4 0.698 0.000 0.170 1
Pm5 0.920 0.000 0.714 1
Nd1 0.195 0.500 0.547 1
Nd2 0.345 0.500 0.105 1
Nd3 0.655 0.500 0.895 1
Nd4 0.805 0.500 0.453 1
Th1 0.456 0.000 0.370 1
Th2 0.544 0.000 0.630 1
# - Crystal system: monoclinic
# - SG: P2/m
# - Energy of formation: 135 meV/atom
# - Mass density: 7.7 g/cm3
# - Size of the total moment: 0.0 μB per cell
# - Density of states at the Fermi level: 18.54 states/eV/cell
# - Electronic total energy: -56.18 eV/cell